Entry 1:
Computed, not measured: a crystal of Ta2MnBe2 relaxed with PBEsol at the meta-GGA SCAN level of DFT.

Energy above the most stable polymorph in this dataset   0 meV/atom
Space group   P4/mbm, No. 127

abc: 6.110 6.110 3.254
angles: 90.00 90.00 90.00
Fractional positions:
Ta: 0.179 0.321 0.000
Ta: 0.321 0.821 0.000
Ta: 0.679 0.179 0.000
Ta: 0.821 0.679 0.000
Mn: 0.000 0.000 0.500
Mn: 0.500 0.500 0.500
Be: 0.120 0.620 0.500
Be: 0.380 0.120 0.500
Be: 0.620 0.880 0.500
Be: 0.880 0.380 0.500

Entry 2:
Computed, not measured: a crystal of Ta2MnBe2 relaxed with PBEsol at the meta-GGA SCAN level of DFT.

Energy above the most stable polymorph in this dataset   581 meV/atom
Space group   I4/mmm, No. 139

abc: 5.810 5.810 5.810
angles: 142.76 142.76 53.68
Fractional positions:
Ta: 0.250 0.750 0.500
Ta: 0.750 0.250 0.500
Mn: 0.000 0.000 0.000
Be: 0.408 0.408 0.000
Be: 0.592 0.592 0.000

Ordered ΔE_f results: -0.1947 0.3867; unit eV per atom.
Ordered E results: -32.221 -31.639; unit eV per atom.
Ordered magnetization results: 0.00 0.56; unit μB/atom.